VASP calculation (PBEsol) on a geometry-optimized Co2NiRh structure.

## Properties
The value obtained for the total energy is -7.382 eV per atom. Its calculated formation energy is 0.061 eV/atom. For the spin magnetization, the calculation gives 4.7 μB per cell. Its density of states at the Fermi level is 1.475 states/eV/atom.

Cell lengths 2.545, 3.535, 5.046 Å; angles 90.00, 90.00, 90.00 degrees
Space group Pmmm (No. 47)
Symmetry-distinct sites (fractional):
1 Co 0.000 0.000 0.236 [2 per cell]
2 Ni 0.500 0.500 0.000 [1 per cell]
3 Rh 0.500 0.500 0.500 [1 per cell]